Arrangement 1

The following is a DFT calculation (GGA-PBE) of a relaxed structure of Ba3LiTi3O8.

Cell lengths 5.758, 5.796, 7.141 Å; angles 87.93, 88.70, 61.32 degrees
Space group P-1 (No. 2)
Unique sites:
Ba  0.000  0.000  0.000 x1
Ba  0.294  0.392  0.700 x2
Li  0.500  0.000  0.500 x1
Ti  0.000  0.000  0.500 x1
Ti  0.361  0.317  0.182 x2
O  0.174  0.651  0.330 x2
O  0.182  0.155  0.335 x2
O  0.328  0.850  0.662 x2
O  0.500  0.000  0.000 x1
O  0.500  0.500  0.000 x1

Arrangement 2

The following is a DFT calculation (GGA-PBE) of a relaxed structure of Ba3LiTi3O8.

Cell lengths 10.491, 5.658, 7.264 Å; angles 90.00, 95.40, 90.00 degrees
Space group Cm (No. 8)
Unique sites:
Ba  0.000  0.000  0.000 x2
Ba  0.100  0.500  0.397 x2
Ba  0.295  0.000  0.689 x2
Li  0.297  0.500  0.192 x2
Ti  0.135  0.500  0.857 x2
Ti  0.322  0.000  0.165 x2
Ti  0.440  0.500  0.546 x2
O  0.043  0.247  0.692 x4
O  0.225  0.251  0.025 x4
O  0.293  0.500  0.692 x2
O  0.376  0.254  0.356 x4
O  0.472  0.000  0.031 x2

Arrangement 3

The following is a DFT calculation (GGA-PBE) of a relaxed structure of Ba3LiTi3O8.

Cell lengths 5.588, 6.449, 7.495 Å; angles 76.12, 88.62, 65.27 degrees
Space group P1 (No. 1)
Unique sites:
Ba  0.000  0.000  0.000 x1
Ba  0.277  0.447  0.725 x1
Ba  0.611  0.794  0.384 x1
Li  0.825  0.392  0.167 x1
Ti  0.321  0.413  0.227 x1
Ti  0.600  0.781  0.855 x1
Ti  0.961  0.095  0.531 x1
O  0.154  0.206  0.324 x1
O  0.187  0.650  0.340 x1
O  0.313  0.875  0.669 x1
O  0.483  0.551  0.016 x1
O  0.506  0.003  0.983 x1
O  0.684  0.188  0.325 x1
O  0.831  0.860  0.682 x1
O  0.837  0.330  0.648 x1

Arrangement 4

The following is a DFT calculation (GGA-PBE) of a relaxed structure of Ba3LiTi3O8.

Cell lengths 10.272, 5.847, 7.864 Å; angles 90.00, 102.89, 90.00 degrees
Space group Cm (No. 8)
Unique sites:
Ba  0.000  0.000  0.000 x2
Ba  0.115  0.500  0.716 x2
Ba  0.232  0.000  0.450 x2
Li  0.004  0.500  0.313 x2
Ti  0.203  0.500  0.151 x2
Ti  0.325  0.000  0.892 x2
Ti  0.417  0.500  0.549 x2
O  0.016  0.500  0.065 x2
O  0.225  0.500  0.397 x2
O  0.256  0.242  0.052 x4
O  0.356  0.245  0.737 x4
O  0.484  0.263  0.446 x4

From most stable to least stable, the computed energies give arrangement 2, arrangement 3, arrangement 4, arrangement 1.

Arrangement 1

The following is a DFT calculation (GGA-PBE) of a relaxed structure of Ba3LiTi3O8.

Cell lengths 10.299, 5.854, 7.728 Å; angles 90.00, 102.32, 90.00 degrees
Space group Cm (No. 8)
Unique sites:
Ba  0.000  0.000  0.000 x2
Ba  0.124  0.500  0.681 x2
Ba  0.376  0.000  0.254 x2
Li  0.145  0.000  0.416 x2
Ti  0.175  0.500  0.131 x2
Ti  0.308  0.000  0.820 x2
Ti  0.425  0.500  0.562 x2
O  0.001  0.500  0.958 x2
O  0.106  0.000  0.650 x2
O  0.143  0.261  0.269 x4
O  0.258  0.250  0.960 x4
O  0.359  0.237  0.634 x4

Arrangement 2

The following is a DFT calculation (GGA-PBE) of a relaxed structure of Ba3LiTi3O8.

Cell lengths 10.519, 5.710, 7.136 Å; angles 90.00, 94.92, 90.00 degrees
Space group C2/m (No. 12)
Unique sites:
Ba  0.000  0.000  0.000 x2
Ba  0.197  0.500  0.305 x4
Li  0.000  0.500  0.500 x2
Ti  0.000  0.000  0.500 x2
Ti  0.184  0.500  0.813 x4
O  0.081  0.259  0.666 x8
O  0.168  0.000  0.334 x4
O  0.250  0.250  0.000 x4

From most stable to least stable, the computed energies give arrangement 2, arrangement 1.

Arrangement 1

The following is a DFT calculation (GGA-PBE) of a relaxed structure of BaLiOs.

Cell lengths 6.953, 6.953, 6.953 Å; angles 90.00, 90.00, 90.00 degrees
Space group F-43m (No. 216)
Unique sites:
Ba  0.000  0.000  0.000 x4
Li  0.250  0.250  0.250 x4
Os  0.250  0.250  0.750 x4

Arrangement 2

The following is a DFT calculation (GGA-PBE) of a relaxed structure of BaLiOs.

Cell lengths 5.1046, 5.1046, 2.9976 Å; angles 90.00, 90.00, 120.00 degrees
Space group P-6m2 (No. 187)
Unique sites:
Ba  0.0000  0.0000  0.0000 x1
Li  0.6667  0.3333  0.5000 x1
Os  0.3333  0.6667  0.5000 x1

From most stable to least stable, the computed energies give arrangement 2, arrangement 1.

Arrangement 1

The following is a DFT calculation (GGA-PBE) of a relaxed structure of BaLiOs3.

Cell lengths 5.156, 5.156, 5.156 Å; angles 90.00, 90.00, 90.00 degrees
Space group Pm-3m (No. 221)
Unique sites:
Ba  0.000  0.000  0.000 x1
Li  0.500  0.500  0.500 x1
Os  0.000  0.000  0.500 x3

Arrangement 2

The following is a DFT calculation (GGA-PBE) of a relaxed structure of BaLiOs3.

Cell lengths 4.495, 4.495, 4.495 Å; angles 90.00, 90.00, 90.00 degrees
Space group Pm-3m (No. 221)
Unique sites:
Ba  0.000  0.000  0.000 x1
Li  0.500  0.500  0.500 x1
Os  0.000  0.500  0.500 x3

From most stable to least stable, the computed energies give arrangement 2, arrangement 1.

Arrangement 1

The following is a DFT calculation (GGA-PBE) of a relaxed structure of Ba2LiP2.

Cell lengths 8.216, 8.216, 4.470 Å; angles 90.00, 90.00, 90.00 degrees
Space group P4/mbm (No. 127)
Unique sites:
Ba  0.150  0.350  0.000 x4
Li  0.000  0.000  0.500 x2
P  0.153  0.653  0.500 x4

Arrangement 2

The following is a DFT calculation (GGA-PBE) of a relaxed structure of Ba2LiP2.

Cell lengths 11.688, 4.450, 11.309 Å; angles 90.00, 109.55, 90.00 degrees
Space group C2/m (No. 12)
Unique sites:
Ba  0.091  0.000  0.411 x4
Ba  0.197  0.500  0.148 x4
Li  0.080  0.500  0.830 x4
P  0.039  0.000  0.921 x4
P  0.152  0.500  0.647 x4

From most stable to least stable, the computed energies give arrangement 2, arrangement 1.

Arrangement 1

The following is a DFT calculation (GGA-PBE) of a relaxed structure of BaLiP2.

Cell lengths 7.807, 4.301, 10.893 Å; angles 90.00, 90.00, 90.00 degrees
Space group Pnma (No. 62)
Unique sites:
Ba  0.121  0.250  0.130 x4
Li  0.015  0.250  0.614 x4
P  0.204  0.250  0.834 x4
P  0.206  0.250  0.415 x4

Arrangement 2

The following is a DFT calculation (GGA-PBE) of a relaxed structure of BaLiP2.

Cell lengths 3.210, 5.198, 6.336 Å; angles 90.00, 90.00, 90.00 degrees
Space group Pmm2 (No. 25)
Unique sites:
Ba  0.000  0.000  0.000 x1
Li  0.500  0.500  0.504 x1
P  0.000  0.000  0.494 x1
P  0.500  0.500  0.913 x1

Arrangement 3

The following is a DFT calculation (GGA-PBE) of a relaxed structure of BaLiP2.

Cell lengths 4.616, 4.616, 4.425 Å; angles 90.00, 90.00, 90.00 degrees
Space group P4/mmm (No. 123)
Unique sites:
Ba  0.000  0.000  0.000 x1
Li  0.500  0.500  0.000 x1
P  0.000  0.500  0.500 x2

Arrangement 4

The following is a DFT calculation (GGA-PBE) of a relaxed structure of BaLiP2.

Cell lengths 8.511, 4.189, 5.625 Å; angles 90.00, 108.64, 90.00 degrees
Space group C2/m (No. 12)
Unique sites:
Ba  0.000  0.000  0.000 x2
Li  0.000  0.500  0.500 x2
P  0.243  0.000  0.601 x4

From most stable to least stable, the computed energies give arrangement 1, arrangement 4, arrangement 3, arrangement 2.

Arrangement 1

The following is a DFT calculation (GGA-PBE) of a relaxed structure of BaLiP2.

Cell lengths 3.692, 3.772, 6.354 Å; angles 90.00, 90.00, 90.00 degrees
Space group Pmmm (No. 47)
Unique sites:
Ba  0.000  0.000  0.000 x1
Li  0.000  0.000  0.500 x1
P  0.500  0.500  0.332 x2

Arrangement 2

The following is a DFT calculation (GGA-PBE) of a relaxed structure of BaLiP2.

Cell lengths 4.877, 4.877, 16.432 Å; angles 90.00, 90.00, 90.00 degrees
Space group I-42d (No. 122)
Unique sites:
Ba  0.000  0.000  0.000 x4
Li  0.000  0.000  0.500 x4
P  0.021  0.750  0.625 x8

From most stable to least stable, the computed energies give arrangement 2, arrangement 1.

Arrangement 1

The following is a DFT calculation (GGA-PBE) of a relaxed structure of BaLiP2.

Cell lengths 7.114, 7.114, 7.114 Å; angles 90.00, 90.00, 90.00 degrees
Space group F-43m (No. 216)
Unique sites:
Ba  0.000  0.000  0.000 x4
Li  0.250  0.250  0.750 x4
P  0.000  0.000  0.500 x4
P  0.250  0.250  0.250 x4

Arrangement 2

The following is a DFT calculation (GGA-PBE) of a relaxed structure of BaLiP2.

Cell lengths 3.325, 3.325, 8.080 Å; angles 90.00, 90.00, 90.00 degrees
Space group P4/mmm (No. 123)
Unique sites:
Ba  0.000  0.000  0.000 x1
Li  0.000  0.000  0.500 x1
P  0.500  0.500  0.285 x2

Arrangement 3

The following is a DFT calculation (GGA-PBE) of a relaxed structure of BaLiP2.

Cell lengths 4.490, 4.490, 9.418 Å; angles 90.00, 90.00, 90.00 degrees
Space group I-4m2 (No. 119)
Unique sites:
Ba  0.000  0.000  0.000 x2
Li  0.000  0.500  0.750 x2
P  0.000  0.000  0.500 x2
P  0.000  0.500  0.250 x2

From most stable to least stable, the computed energies give arrangement 2, arrangement 3, arrangement 1.